*a*
VASP calculation (PBE) on a geometry-optimized Tl2ReSb structure.

```
data_Tl2ReSb
_symmetry_space_group_name_H-M 'R 3 m'
_symmetry_Int_Tables_number 160
_symmetry_space_group_name_Hall 'R 3 -2"'
_cell_length_a 3.3210
_cell_length_b 3.3210
_cell_length_c 31.4049
_cell_angle_alpha 90.00
_cell_angle_beta 90.00
_cell_angle_gamma 120.00
loop_
_atom_site_label
_atom_site_type_symbol
_atom_site_fract_x
_atom_site_fract_y
_atom_site_fract_z
_atom_site_occupancy
Tl1 Tl 0.0000 0.0000 0.0000 1
Tl2 Tl 0.0000 0.0000 0.2411 1
Re1 Re 0.0000 0.0000 0.7384 1
Sb1 Sb 0.0000 0.0000 0.4647 1
```

---

*b*
VASP calculation (PBE) on a geometry-optimized Tl2ReSb structure.

```
data_Tl2ReSb
_symmetry_space_group_name_H-M 'C m m m'
_symmetry_Int_Tables_number 65
_symmetry_space_group_name_Hall '-C 2 2'
_cell_length_a 6.445
_cell_length_b 9.384
_cell_length_c 3.025
_cell_angle_alpha 90.00
_cell_angle_beta 90.00
_cell_angle_gamma 90.00
loop_
_atom_site_label
_atom_site_type_symbol
_atom_site_fract_x
_atom_site_fract_y
_atom_site_fract_z
_atom_site_occupancy
Tl1 Tl 0.250 0.250 0.000 1
Re1 Re 0.000 0.000 0.500 1
Sb1 Sb 0.000 0.500 0.500 1
```

---

*c*
VASP calculation (PBE) on a geometry-optimized Tl2ReSb structure.

```
data_Tl2ReSb
_symmetry_space_group_name_H-M 'P 4/m m m'
_symmetry_Int_Tables_number 123
_symmetry_space_group_name_Hall '-P 4 2'
_cell_length_a 2.899
_cell_length_b 2.899
_cell_length_c 12.787
_cell_angle_alpha 90.00
_cell_angle_beta 90.00
_cell_angle_gamma 90.00
loop_
_atom_site_label
_atom_site_type_symbol
_atom_site_fract_x
_atom_site_fract_y
_atom_site_fract_z
_atom_site_occupancy
Tl1 Tl 0.000 0.000 0.196 1
Re1 Re 0.500 0.500 0.000 1
Sb1 Sb 0.500 0.500 0.500 1
```

---

Referenced to the most stable arrangement, the calculated values in eV/atom are *a* 0.000; *b* 0.571; *c* 0.420.